No. 1
## Th2Si3TcIr4 (GGA-PBE)

Data for a geometry-optimized Th2Si3TcIr4 structure.

## Properties
Uncorrected energy = -8.606 eV/atom
SG = P-4m2, No. 115
E_form (uncorrected) = -914 meV per atom
Magnetic moment = 0.12 μB/cell

Cell lengths 4.172, 4.172, 10.269 Å; angles 90.00, 90.00, 90.00 degrees
Positions (direct):
Th 0.500 0.000 0.245
Th 0.000 0.500 0.755
Si 0.000 0.000 0.500
Si 0.500 0.000 0.871
Si 0.000 0.500 0.129
Tc 0.500 0.500 0.500
Ir 0.500 0.500 0.000
Ir 0.000 0.000 0.000
Ir 0.500 0.000 0.634
Ir 0.000 0.500 0.366

---

No. 2
## CsTiMn3 (GGA-PBE)

Data for a geometry-optimized CsTiMn3 structure.

## Properties
Uncorrected energy = -4.754 eV/atom
SG = Pm-3m, No. 221
Magnetic moment = 10.66 μB/cell
DFT formation energy = 2498 meV per atom

Cell lengths 4.899, 4.899, 4.899 Å; angles 90.00, 90.00, 90.00 degrees
Positions (direct):
Cs 0.000 0.000 0.000
Mn 0.000 0.500 0.000
Mn 0.000 0.000 0.500
Mn 0.500 0.000 0.000
Ti 0.500 0.500 0.500

---

No. 3
## TlBi2TeO6 (GGA-PBE)

Data for a geometry-optimized TlBi2TeO6 structure.

## Properties
Uncorrected energy = -5.290 eV/atom
SG = R3, No. 146
E_form (uncorrected) = -988 meV per atom
Magnetic moment = 0.00 μB/cell

Cell lengths 5.981, 5.981, 6.765 Å; angles 63.76, 63.76, 60.00 degrees
Positions (direct):
Tl 0.784 0.784 0.649
Bi 0.538 0.538 0.387
Bi 0.998 0.998 0.006
Te 0.332 0.332 0.003
O 0.557 0.308 0.196
O 0.308 0.939 0.196
O 0.939 0.558 0.196
O 0.324 0.701 0.794
O 0.701 0.181 0.794
O 0.181 0.324 0.794

---

No. 4
## Zr3HgC (GGA-PBE)

Data for a geometry-optimized Zr3HgC structure.

## Properties
Uncorrected energy = -7.059 eV/atom
SG = P6_3/mmc, No. 194
Magnetic moment = 2.25 μB/cell
Distance to the lowest polymorph of the same formula = 11.053 kcal/mol of atoms
DFT formation energy = -25 meV per atom

Cell lengths 3.812, 3.812, 17.319 Å; angles 90.00, 90.00, 120.00 degrees
Positions (direct):
C 0.333 0.667 0.750
C 0.667 0.333 0.250
Hg 0.000 0.000 0.000
Hg 0.000 0.000 0.500
Zr 0.000 0.000 0.250
Zr 0.000 0.000 0.750
Zr 0.333 0.667 0.879
Zr 0.333 0.667 0.621
Zr 0.667 0.333 0.379
Zr 0.667 0.333 0.121